1.
A PBEsol-optimized structure of TlReAg2. Source: Alexandria, functional SCAN.

a = 2.927 Å, b = 4.774 Å, c = 4.956 Å
α = 90.00°, β = 90.00°, γ = 90.00°
Sites, in units of the cell vectors:
Tl (0.000, 0.500, 0.500)
Re (0.500, 0.000, 0.500)
Ag (0.500, 0.500, 0.000)
Ag (0.000, 0.000, 0.000)

## Properties
total energy: -50.787 eV/atom
ΔE_f: 0.761 eV per atom
size of the total moment: 0.000 μB/atom
V: 69.28 Å³ per cell
energy above the most stable polymorph in this dataset: 89 meV per atom

---

2.
A PBEsol-optimized structure of TlReAg2. Source: Alexandria, functional SCAN.

a = 2.789 Å, b = 2.789 Å, c = 9.239 Å
α = 90.00°, β = 90.00°, γ = 89.80°
Sites, in units of the cell vectors:
Tl (0.500, 0.500, 0.000)
Re (0.500, 0.500, 0.500)
Ag (0.000, 0.000, 0.722)
Ag (0.000, 0.000, 0.278)

## Properties
total energy: -50.876 eV/atom
ΔE_f: 0.671 eV per atom
size of the total moment: 0.000 μB/atom
V: 71.85 Å³ per cell
energy above the most stable polymorph in this dataset: 0 meV per atom

---

3.
A PBEsol-optimized structure of ReAgW2. Source: Alexandria, functional SCAN.

a = 2.786 Å, b = 4.029 Å, c = 5.569 Å
α = 90.00°, β = 90.00°, γ = 90.00°
Sites, in units of the cell vectors:
Re (0.500, 0.500, 0.772)
W (0.500, 0.500, 0.238)
W (0.000, 0.000, 0.990)
Ag (0.000, 0.000, 0.500)

## Properties
total energy: -59.898 eV/atom
ΔE_f: 0.563 eV per atom
size of the total moment: 0.000 μB/atom
V: 62.52 Å³ per cell